(1)
The following is a PBE-GGA calculation of a relaxed Nb3TlOs crystal, from Alexandria.

Cell and atoms, written as CIF:
```
data_Nb3TlOs
_space_group_name_H-M_alt 'P m -3 m'
_space_group_IT_number 221
_space_group_name_Hall '-P 4 2 3'
_cell_length_a 4.891
_cell_length_b 4.891
_cell_length_c 4.891
_cell_angle_alpha 90.00
_cell_angle_beta 90.00
_cell_angle_gamma 90.00
loop_
_atom_site_label
_atom_site_type_symbol
_atom_site_fract_x
_atom_site_fract_y
_atom_site_fract_z
Nb1 Nb 0.000 0.000 0.500
Tl1 Tl 0.500 0.500 0.500
Os1 Os 0.000 0.000 0.000
```

Results
Energy above the most stable polymorph in this dataset, meV per atom: 0.0
Calculated formation energy, eV per formula unit: 4.6
Crystal system: cubic



(2)
The following is a PBE-GGA calculation of a relaxed Li2NbI crystal, from Alexandria.

Cell and atoms, written as CIF:
```
data_Li2NbI
_space_group_name_H-M_alt 'I -4 2 d'
_space_group_IT_number 122
_space_group_name_Hall 'I -4 2bw'
_cell_length_a 7.731
_cell_length_b 7.731
_cell_length_c 5.448
_cell_angle_alpha 90.00
_cell_angle_beta 90.00
_cell_angle_gamma 90.00
loop_
_atom_site_label
_atom_site_type_symbol
_atom_site_fract_x
_atom_site_fract_y
_atom_site_fract_z
Li1 Li 0.224 0.250 0.125
Nb1 Nb 0.000 0.000 0.500
I1 I 0.000 0.000 0.000
```

Results
Energy above the most stable polymorph in this dataset, meV per atom: 0.0
Crystal system: tetragonal



(3)
The following is a PBE-GGA calculation of a relaxed BaLaPS2 crystal, from Alexandria.

Cell and atoms, written as CIF:
```
data_BaLaPS2
_space_group_name_H-M_alt 'P 4/m m m'
_space_group_IT_number 123
_space_group_name_Hall '-P 4 2'
_cell_length_a 5.512
_cell_length_b 5.512
_cell_length_c 5.423
_cell_angle_alpha 90.00
_cell_angle_beta 90.00
_cell_angle_gamma 90.00
loop_
_atom_site_label
_atom_site_type_symbol
_atom_site_fract_x
_atom_site_fract_y
_atom_site_fract_z
Ba1 Ba 0.000 0.000 0.000
La1 La 0.500 0.500 0.500
P1 P 0.500 0.500 0.000
S1 S 0.000 0.500 0.500
```

Results
Energy above the most stable polymorph in this dataset, meV per atom: 0.0
Crystal system: tetragonal



(4)
The following is a PBE-GGA calculation of a relaxed Pm6AuBr8 crystal, from Alexandria.

Cell and atoms, written as CIF:
```
data_Pm6AuBr8
_space_group_name_H-M_alt 'R -3'
_space_group_IT_number 148
_space_group_name_Hall '-R 3'
_cell_length_a 7.2457
_cell_length_b 7.2457
_cell_length_c 32.5032
_cell_angle_alpha 90.00
_cell_angle_beta 90.00
_cell_angle_gamma 120.00
loop_
_atom_site_label
_atom_site_type_symbol
_atom_site_fract_x
_atom_site_fract_y
_atom_site_fract_z
Pm1 Pm 0.0002 0.3232 0.0531
Au1 Au 0.0000 0.0000 0.0000
Br1 Br 0.0000 0.0000 0.3333
Br2 Br 0.0002 0.3354 0.8915
```

Results
Crystal system: trigonal



(5)
The following is a PBE-GGA calculation of a relaxed TbPm3Nd2Ho6 crystal, from Alexandria.

Cell and atoms, written as CIF:
```
data_TbPm3Nd2Ho6
_space_group_name_H-M_alt 'C 1 2/m 1'
_space_group_IT_number 12
_space_group_name_Hall '-C 2y'
_cell_length_a 6.220
_cell_length_b 10.771
_cell_length_c 11.803
_cell_angle_alpha 90.00
_cell_angle_beta 100.08
_cell_angle_gamma 90.00
loop_
_atom_site_label
_atom_site_type_symbol
_atom_site_fract_x
_atom_site_fract_y
_atom_site_fract_z
Tb1 Tb 0.000 0.000 0.000
Pm1 Pm 0.000 0.167 0.500
Pm2 Pm 0.000 0.500 0.500
Nd1 Nd 0.000 0.334 0.000
Ho1 Ho 0.249 0.000 0.750
Ho2 Ho 0.250 0.166 0.250
```

Results
Calculated formation energy, eV per formula unit: 0.2
Crystal system: monoclinic



(6)
The following is a PBE-GGA calculation of a relaxed MgRePb2 crystal, from Alexandria.

Cell and atoms, written as CIF:
```
data_MgRePb2
_space_group_name_H-M_alt 'I 4/m m m'
_space_group_IT_number 139
_space_group_name_Hall '-I 4 2'
_cell_length_a 4.649
_cell_length_b 4.649
_cell_length_c 7.881
_cell_angle_alpha 90.00
_cell_angle_beta 90.00
_cell_angle_gamma 90.00
loop_
_atom_site_label
_atom_site_type_symbol
_atom_site_fract_x
_atom_site_fract_y
_atom_site_fract_z
Mg1 Mg 0.000 0.000 0.000
Re1 Re 0.000 0.000 0.500
Pb1 Pb 0.000 0.500 0.250
```

Results
Calculated formation energy, eV per formula unit: 2.9
Crystal system: tetragonal



| no. | uncorrected energy (eV per atom) |
| --- | --- |
| 1 | -7.848 |
| 2 | -3.371 |
| 3 | -5.169 |
| 4 | -4.422 |
| 5 | -4.643 |
| 6 | -4.635 |